RbBaGe3: optimized geometry, GGA-PBE.

Cell lengths 6.0161, 6.0161, 6.0161 Å; angles 90.00, 90.00, 90.00 degrees
Atoms (fractional coordinates):
Ge (0.0000, 0.5000, 0.0000)
Ge (0.0000, 0.0000, 0.5000)
Ge (0.5000, 0.0000, 0.0000)
Ba (0.0000, 0.0000, 0.0000)
Rb (0.5000, 0.5000, 0.5000)

Space-group type: Pm-3m (221)
Formation enthalpy at 0 K: 0.79 eV per atom
ΔE to the lowest computed polymorph: 0.0 meV/atom
DFT total energy: -2.56 eV/atom



K3PbI: optimized geometry, GGA-PBE.

Cell lengths 6.5787, 6.5787, 6.5787 Å; angles 90.00, 90.00, 90.00 degrees
Atoms (fractional coordinates):
Pb (0.5000, 0.5000, 0.5000)
I (0.0000, 0.0000, 0.0000)
K (0.0000, 0.5000, 0.0000)
K (0.0000, 0.0000, 0.5000)
K (0.5000, 0.0000, 0.0000)

Space-group type: Pm-3m (221)
ΔE_f (raw): -0.376 eV per atom
ΔE to the lowest computed polymorph: 0.0 meV/atom
DFT total energy: -2.09 eV/atom



Al2V6Si: optimized geometry, GGA-PBE.

Cell lengths 2.5826, 7.4374, 7.7043 Å; angles 118.86, 73.67, 90.00 degrees
Atoms (fractional coordinates):
Al (0.6731, 0.6662, 0.3324)
Al (0.3269, 0.3338, 0.6676)
V (0.0552, 0.3287, 0.3294)
V (0.9448, 0.9993, 0.6706)
V (0.9448, 0.6713, 0.6706)
V (0.5000, 0.3248, 0.0000)
V (0.0552, 0.0007, 0.3294)
V (0.5000, 0.6752, 0.0000)
Si (0.0000, 0.0000, 0.0000)

Space-group type: C2/m (12)
ΔE_f (raw): -0.186 eV per atom
DFT total energy: -7.70 eV/atom



Question: Which of these has the lowest DFT total energy?
Answer: Al2V6Si



Question: The lowest DFT total energy belongs to which entry?
Answer: Al2V6Si



Question: Which formula does entry 2 have?
Answer: K3PbI